Entry 1:
Here is a geometry-optimized Pu4PaAs5 structure from the Alexandria database. Energies are from PBE-GGA.

Cell: 9.257 9.257 5.854 Å, 90.00 90.00 90.00°
Space group I4/m (No. 87)
Inequivalent atoms, fractional coordinates:
1 Pu 0.099 0.301 0.000
2 Pa 0.000 0.000 0.500
3 As 0.000 0.000 0.000
4 As 0.099 0.296 0.500

Calculated values
DFT formation energy	-10.47	eV per formula unit
total energy	-201.1	eV per cell
crystal system	tetragonal
total magnetization	43.07	μB/cell

=====

Entry 2:
Here is a geometry-optimized Mn2CdIr2 structure from the Alexandria database. Energies are from PBE-GGA.

Cell: 7.418 7.418 2.833 Å, 90.00 90.00 90.00°
Space group P4/mbm (No. 127)
Inequivalent atoms, fractional coordinates:
1 Mn 0.161 0.339 0.000
2 Cd 0.000 0.000 0.500
3 Ir 0.134 0.634 0.500

Calculated values
DFT formation energy	0.17	eV per formula unit
total energy	-73.6	eV per cell
crystal system	tetragonal
energy above the most stable polymorph in this dataset	0.000	eV per atom
total magnetization	12.47	μB/cell

=====

Entry 3:
Here is a geometry-optimized SmMgSi2Pt2 structure from the Alexandria database. Energies are from PBE-GGA.

Cell: 4.2570 4.2570 6.9314 Å, 90.00 90.00 120.00°
Space group P-3m1 (No. 164)
Inequivalent atoms, fractional coordinates:
1 Sm 0.0000 0.0000 0.0000
2 Mg 0.0000 0.0000 0.5000
3 Si 0.3333 0.6667 0.7081
4 Pt 0.3333 0.6667 0.3034

Calculated values
total energy	-35.0	eV per cell
crystal system	trigonal
total magnetization	0.00	μB/cell
E_form (uncorrected)	-0.954	eV/atom